[1]
The following is a DFT calculation (PBE) of a relaxed structure of MgTlZn2.

a = 9.403 Å, b = 3.410 Å, c = 5.240 Å
α = 90.00°, β = 98.52°, γ = 90.00°
Space group C2/m (No. 12)
Asymmetric unit:
Mg  0.000  0.000  0.000 (multiplicity 2)
Tl  0.000  0.500  0.500 (multiplicity 2)
Zn  0.242  0.500  0.204 (multiplicity 4)

Results
Crystal system: monoclinic
Energy above the lowest structure with this stoichiometry, meV per atom: 32
Formation energy, kJ/mol of atoms: 8
Mass density, g cm⁻³: 7.19

---

[2]
The following is a DFT calculation (PBE) of a relaxed structure of Zr2VW.

a = 7.423 Å, b = 7.423 Å, c = 5.661 Å
α = 90.00°, β = 90.00°, γ = 90.00°
Space group I-42d (No. 122)
Asymmetric unit:
Zr  0.244  0.250  0.125 (multiplicity 8)
V  0.000  0.000  0.000 (multiplicity 4)
W  0.000  0.000  0.500 (multiplicity 4)

Results
Crystal system: tetragonal
Energy above the lowest structure with this stoichiometry, meV per atom: 568
Formation energy, kJ/mol of atoms: 72
Mass density, g cm⁻³: 8.88

---

[3]
The following is a DFT calculation (PBE) of a relaxed structure of LaGdPd4.

a = 7.808 Å, b = 7.808 Å, c = 7.808 Å
α = 90.00°, β = 90.00°, γ = 90.00°
Space group F-43m (No. 216)
Asymmetric unit:
La  0.000  0.000  0.000 (multiplicity 4)
Gd  0.250  0.250  0.250 (multiplicity 4)
Pd  0.125  0.125  0.625 (multiplicity 16)

Results
Crystal system: cubic
Formation energy, kJ/mol of atoms: -77
Mass density, g cm⁻³: 10.07